Record 1
Cd3PbI GGA-PBE optimized geometry; excess energy over the best structure of this formula in the dataset = 0.000 eV per atom
1.0
5.759 0.000 0.000
0.000 5.759 0.000
0.000 0.000 5.759
Cd Pb I
3 1 1
direct
0.000 0.000 0.500 Cd
0.000 0.500 0.000 Cd
0.500 0.000 0.000 Cd
0.000 0.000 0.000 Pb
0.500 0.500 0.500 I

Record 2
La4SiTe2Br GGA-PBE optimized geometry; DFT total energy = -44.03 eV per cell
1.0
7.737 0.000 0.000
0.000 4.455 0.000
-2.548 0.000 7.415
La Si Te Br
4 1 2 1
direct
0.228 0.000 0.225 La
0.238 0.500 0.767 La
0.762 0.500 0.233 La
0.772 0.000 0.775 La
0.000 0.500 0.000 Si
0.000 0.000 0.500 Te
0.500 0.500 0.500 Te
0.500 0.000 0.000 Br

Record 3
BaCd8In2 GGA-PBE optimized geometry; E_form = -0.61 eV/f.u.; excess energy over the best structure of this formula in the dataset = 0.000 eV per atom
1.0
2.964 -4.829 0.000
2.964 4.829 0.000
0.000 0.000 10.810
Ba Cd In
1 8 2
direct
0.000 0.000 0.000 Ba
0.000 0.500 0.205 Cd
0.000 0.500 0.500 Cd
0.000 0.500 0.795 Cd
0.500 0.000 0.205 Cd
0.500 0.000 0.500 Cd
0.500 0.000 0.795 Cd
0.500 0.500 0.335 Cd
0.500 0.500 0.665 Cd
0.000 0.000 0.351 In
0.000 0.000 0.649 In